{
  "formula": "Na3TbV2O8",
  "functional": "GGA+U",
  "state": "relaxed",
  "crystal_system": "trigonal",
  "de_polymorph_ev_per_atom": 0.054,
  "sg": "P-3m1, No. 164",
  "lattice": [[-3.8645, 1.4691, -4.2581], [-1.8230, -3.1004, 4.7210], [-1.4489, 6.0134, 3.3897]],
  "species": ["Na", "O", "O", "O", "V", "O", "O", "Na", "O", "Na", "O", "O", "V", "Tb"],
  "frac_coords": [[0.0000, 0.0000, 0.0000], [0.6521, 0.8261, 0.3065], [0.6667, 0.3333, 0.0239], [0.8261, 0.1739, 0.6935], [0.6667, 0.3333, 0.7863], [0.3479, 0.1739, 0.6935], [0.1739, 0.8261, 0.3065], [0.6667, 0.3333, 0.3342], [0.3333, 0.6667, 0.9761], [0.3333, 0.6667, 0.6658], [0.8261, 0.6521, 0.6935], [0.1739, 0.3479, 0.3065], [0.3333, 0.6667, 0.2137], [0.0000, 0.0000, 0.5000]]
}